{"formula": "Pr6Co2IrCl3", "functional": "PBE", "state": "relaxed", "cell": [[7.0154, -0.0028, 0.0023], [-3.5084, 6.0751, 0.0023], [-1.1671, -2.0209, 7.6014]], "species": ["Pr", "Pr", "Pr", "Pr", "Pr", "Pr", "Cl", "Cl", "Cl", "Co", "Co", "Ir"], "fractional_positions": [[0.0672, 0.4095, 0.2024], [0.7248, 0.7248, 0.2024], [0.2752, 0.2752, 0.7976], [0.4095, 0.0672, 0.2024], [0.9328, 0.5905, 0.7976], [0.5905, 0.9328, 0.7976], [0.8309, 0.1691, 0.5000], [0.1691, 0.8309, 0.5000], [0.5000, 0.5000, 0.5000], [0.6665, 0.3335, 0.0000], [0.3335, 0.6665, 0.0000], [0.0000, 0.0000, 0.0000]], "final_energy_ry_per_atom": -0.41966, "raw_formation_energy_ev_per_atom": -0.936, "space_group": "No. 12", "volume_a3_per_cell": 324}